## CuAg2PdF8 (PBE)

Data for an optimized crystal structure of CuAg2PdF8.

abc: 6.1896 6.1896 6.1896
angles: 117.42 117.42 94.53
Positions (direct):
1 Cu 0.2500 0.7500 0.5000
2 Ag 0.7500 0.2500 0.5000
3 Ag 0.5000 0.5000 0.0000
4 Pd 0.0000 0.0000 0.0000
5 F 0.3283 0.0233 0.3050
6 F 0.2813 0.4948 0.2135
7 F 0.2813 0.0678 0.7865
8 F 0.7184 0.0233 0.6950
9 F 0.9322 0.7187 0.2135
10 F 0.9767 0.2816 0.3050
11 F 0.9767 0.6717 0.6950
12 F 0.5052 0.7187 0.7865

Values from the calculation:
**ΔE_f (raw)**: -1353.7 kJ/mol of formula units
**Magnetic moment**: 1.114 μB per formula unit

## Ac8Ir3Br3O (PBE)

Data for an optimized crystal structure of Ac8Ir3Br3O.

abc: 8.8980 8.5697 9.3812
angles: 115.72 90.00 121.28
Positions (direct):
1 Ac 0.2687 0.5374 0.3038
2 Ac 0.7313 0.4626 0.6962
3 Ac 0.8019 0.6037 0.3309
4 Ac 0.1981 0.3963 0.6691
5 Ac 0.7534 0.0425 0.2915
6 Ac 0.2466 0.9575 0.7085
7 Ac 0.2891 0.0425 0.2915
8 Ac 0.7109 0.9575 0.7085
9 Ir 0.5000 0.0000 0.5000
10 Ir 0.5000 0.5000 0.5000
11 Ir 0.0000 0.5000 0.5000
12 Br 0.0000 0.0000 0.0000
13 Br 0.0000 0.5000 0.0000
14 Br 0.5000 0.5000 0.0000
15 O 0.0000 0.0000 0.5000

Values from the calculation:
**ΔE_f (raw)**: -1723.5 kJ/mol of formula units
**Magnetic moment**: 0.000 μB per formula unit

## Mg2Cu2Hg (PBE)

Data for an optimized crystal structure of Mg2Cu2Hg.

abc: 3.3978 3.3978 8.4020
angles: 78.33 78.33 90.00
Positions (direct):
1 Mg 0.3848 0.3848 0.2305
2 Mg 0.6152 0.6152 0.7695
3 Hg 0.0000 0.0000 0.0000
4 Cu 0.7500 0.2500 0.5000
5 Cu 0.2500 0.7500 0.5000

Values from the calculation:
**Relative energy among the computed polymorphs**: 0.0755 eV/atom
**Calculated formation energy**: -25 meV per atom
**Magnetic moment**: 0.000 μB per formula unit

## CaSc2Br (PBE)

Data for an optimized crystal structure of CaSc2Br.

abc: 5.1823 6.9012 3.4826
angles: 75.72 89.14 111.82
Positions (direct):
1 Sc 0.0000 0.0000 0.0000
2 Sc 0.5000 0.0000 0.5000
3 Ca 0.5000 0.5000 0.0000
4 Br 0.0000 0.5000 0.5000

Values from the calculation:
**Relative energy among the computed polymorphs**: 0.2814 eV/atom
**ΔE_f (raw)**: -67.5 kJ/mol of formula units
**Magnetic moment**: 0.001 μB per formula unit

## Na2SrPuS4 (PBE)

Data for an optimized crystal structure of Na2SrPuS4.

abc: 4.1212 7.0506 7.1957
angles: 70.24 90.00 90.00
Positions (direct):
1 Na 0.0000 0.0000 0.0000
2 Na 0.5000 0.0000 0.5000
3 Sr 0.5000 0.5000 0.0000
4 Pu 0.0000 0.5000 0.5000
5 S 0.0000 0.7318 0.7261
6 S 0.0000 0.2682 0.2739
7 S 0.5000 0.7258 0.2782
8 S 0.5000 0.2742 0.7218

Values from the calculation:
**ΔE_f (raw)**: -1175.7 kJ/mol of formula units
**Magnetic moment**: 4.000 μB per formula unit

## K2RePb (PBE)

Data for an optimized crystal structure of K2RePb.

abc: 3.7306 3.7422 10.2345
angles: 90.00 90.00 90.00
Positions (direct):
1 K 0.0000 0.0000 0.9199
2 K 0.5000 0.5000 0.3283
3 Pb 0.0000 0.0000 0.5863
4 Re 0.5000 0.5000 0.6655

Values from the calculation:
**Calculated formation energy**: 875 meV per atom
**Magnetic moment**: 0.072 μB per formula unit

## Ba2AsAu (PBE)

Data for an optimized crystal structure of Ba2AsAu.

abc: 3.9283 4.1425 9.1039
angles: 62.92 90.00 90.00
Positions (direct):
1 As 0.5000 0.2500 0.2500
2 Au 0.5000 0.7500 0.7500
3 Ba 0.0000 0.9803 0.0202
4 Ba 0.0000 0.5197 0.4798

Values from the calculation:
**Calculated formation energy**: -857 meV per atom
**Magnetic moment**: 0.000 μB per formula unit

## KSc2Cu (PBE)

Data for an optimized crystal structure of KSc2Cu.

abc: 3.4462 3.4462 9.3372
angles: 90.00 90.00 90.00
Positions (direct):
1 Cu 0.0000 0.0000 0.4251
2 K 0.5000 0.5000 0.7020
3 Sc 0.0000 0.0000 0.0752
4 Sc 0.5000 0.5000 0.2977

Values from the calculation:
**Relative energy among the computed polymorphs**: 0.0229 eV/atom
**Calculated formation energy**: 210 meV per atom
**Magnetic moment**: 1.251 μB per formula unit

## Cs2RbSrCl5 (PBE)

Data for an optimized crystal structure of Cs2RbSrCl5.

abc: 5.5746 7.9761 9.7085
angles: 114.25 106.68 90.00
Positions (direct):
1 Cs 0.2084 0.2084 0.4168
2 Cs 0.7916 0.7916 0.5832
3 Rb 0.0000 0.5000 0.0000
4 Sr 0.5000 0.0000 0.0000
5 Cl 0.6244 0.8735 0.2489
6 Cl 0.3756 0.1265 0.7511
7 Cl 0.3756 0.6246 0.7511
8 Cl 0.6244 0.3754 0.2489
9 Cl 0.0000 0.0000 0.0000

Values from the calculation:
**ΔE_f (raw)**: -1824.0 kJ/mol of formula units
**Magnetic moment**: 0.000 μB per formula unit

## MnCd2In (PBE)

Data for an optimized crystal structure of MnCd2In.

abc: 5.2320 3.1666 5.1333
angles: 91.85 90.00 90.00
Positions (direct):
1 Cd 0.0000 0.0121 0.9895
2 Cd 0.0000 0.4879 0.5105
3 In 0.5000 0.2500 0.2500
4 Mn 0.5000 0.7500 0.7500

Values from the calculation:
**Calculated formation energy**: 225 meV per atom
**Magnetic moment**: 3.896 μB per formula unit

## NaSc2B2 (PBE)

Data for an optimized crystal structure of NaSc2B2.

abc: 6.5900 6.5900 3.5728
angles: 90.00 90.00 90.00
Positions (direct):
1 Sc 0.1722 0.6722 0.5000
2 Sc 0.6722 0.8278 0.5000
3 Sc 0.8278 0.3278 0.5000
4 Sc 0.3278 0.1722 0.5000
5 Na 0.0000 0.0000 0.0000
6 Na 0.5000 0.5000 0.0000
7 B 0.4126 0.9126 0.0000
8 B 0.9126 0.5874 0.0000
9 B 0.5874 0.0874 0.0000
10 B 0.0874 0.4126 0.0000

Values from the calculation:
**Relative energy among the computed polymorphs**: 0.0000 eV/atom
**Calculated formation energy**: -14 meV per atom
**Magnetic moment**: 0.000 μB per formula unit

## BeTl2Se (PBE)

Data for an optimized crystal structure of BeTl2Se.

abc: 4.9372 4.9353 4.1049
angles: 90.00 90.00 90.00
Positions (direct):
1 Be 0.5000 0.0000 0.5000
2 Tl 0.0000 0.0000 0.0000
3 Tl 0.5000 0.5000 0.0000
4 Se 0.0000 0.5000 0.5000

Values from the calculation:
**Relative energy among the computed polymorphs**: 0.6127 eV/atom
**ΔE_f (raw)**: 162.9 kJ/mol of formula units
**Magnetic moment**: 0.000 μB per formula unit

What did the ninth record say?
## Cs2RbSrCl5 (PBE)

Data for an optimized crystal structure of Cs2RbSrCl5.

abc: 5.5746 7.9761 9.7085
angles: 114.25 106.68 90.00
Positions (direct):
1 Cs 0.2084 0.2084 0.4168
2 Cs 0.7916 0.7916 0.5832
3 Rb 0.0000 0.5000 0.0000
4 Sr 0.5000 0.0000 0.0000
5 Cl 0.6244 0.8735 0.2489
6 Cl 0.3756 0.1265 0.7511
7 Cl 0.3756 0.6246 0.7511
8 Cl 0.6244 0.3754 0.2489
9 Cl 0.0000 0.0000 0.0000

Values from the calculation:
**ΔE_f (raw)**: -1824.0 kJ/mol of formula units
**Magnetic moment**: 0.000 μB per formula unit

Q: Look up the magnetic moment of the second one.
A: 0.000 μB per formula unit

Q: Which value of magnetic moment does entry 4 give?
A: 0.001 μB per formula unit